(1)
The following is a GGA-PBE calculation of an optimized crystal structure of PmPu2PaP4, from Alexandria.

abc: 4.033 6.989 6.935
angles: 109.59 90.00 90.00
Last column: magnetic moment on the atom in μB.
Atoms (fractional coordinates):
Pm (0.500, 0.500, 0.000)  -0.02
Pu (0.500, 0.000, 0.500)  -4.98
Pu (0.000, 0.500, 0.500)  -5.08
Pa (0.000, 0.000, 0.000)  -0.41
P (0.500, 0.243, 0.250)  0.07
P (0.500, 0.757, 0.750)  0.07
P (0.000, 0.239, 0.744)  0.08
P (0.000, 0.761, 0.256)  0.08

ΔE_f: -126.5 kJ per mole of atoms

(2)
The following is a GGA-PBE calculation of an optimized crystal structure of Pm2PuPaP4, from Alexandria.

abc: 4.057 7.007 7.030
angles: 109.50 90.00 90.00
Last column: magnetic moment on the atom in μB.
Atoms (fractional coordinates):
Pm (0.500, 0.000, 0.500)  0.02
Pm (0.000, 0.500, 0.500)  0.02
Pu (0.000, 0.000, 0.000)  5.03
Pa (0.500, 0.500, 0.000)  0.24
P (0.500, 0.248, 0.236)  -0.06
P (0.500, 0.752, 0.764)  -0.06
P (0.000, 0.258, 0.763)  -0.02
P (0.000, 0.742, 0.237)  -0.02

ΔE_f: -136.6 kJ per mole of atoms

(3)
The following is a GGA-PBE calculation of an optimized crystal structure of PmPaP2Rh5, from Alexandria.

abc: 4.049 4.049 10.632
angles: 90.00 90.00 90.00
Atoms (fractional coordinates):
Pm (0.000, 0.000, 0.500)
Pa (0.000, 0.000, 0.000)
P (0.500, 0.500, 0.287)
P (0.500, 0.500, 0.713)
Rh (0.000, 0.500, 0.184)
Rh (0.500, 0.000, 0.184)
Rh (0.000, 0.500, 0.816)
Rh (0.500, 0.000, 0.816)
Rh (0.500, 0.500, 0.500)

ΔE_f: -81.2 kJ per mole of atoms

(4)
The following is a GGA-PBE calculation of an optimized crystal structure of PmPaPS, from Alexandria.

abc: 4.891 4.891 4.891
angles: 60.00 60.00 60.00
Last column: magnetic moment on the atom in μB.
Atoms (fractional coordinates):
P (0.750, 0.750, 0.750)  -0.03
S (0.250, 0.250, 0.250)  -0.03
Pa (0.000, 0.000, 0.000)  0.91
Pm (0.500, 0.500, 0.500)  0.24

energy relative to the lowest polymorph listed for this composition: 288.4 meV per atom
formation energy from raw total energies: -1224 meV/atom

(5)
The following is a GGA-PBE calculation of an optimized crystal structure of PmPaPS, from Alexandria.

abc: 3.899 3.898 7.421
angles: 90.00 105.22 120.00
Last column: magnetic moment on the atom in μB.
Atoms (fractional coordinates):
Pm (0.957, 0.376, 0.349)  -0.01
Pa (0.313, 0.555, 0.883)  0.69
P (0.130, 0.963, 0.108)  -0.01
S (0.477, 0.137, 0.629)  -0.02

energy relative to the lowest polymorph listed for this composition: 0.0 meV per atom
formation energy from raw total energies: -1513 meV/atom

(6)
The following is a GGA-PBE calculation of an optimized crystal structure of PmSc2PaP4, from Alexandria.

abc: 3.923 6.692 6.805
angles: 70.32 90.00 90.00
Atoms (fractional coordinates):
Pm (0.500, 0.500, 0.000)
Sc (0.000, 0.000, 0.000)
Sc (0.500, 0.000, 0.500)
Pa (0.000, 0.500, 0.500)
P (0.000, 0.768, 0.736)
P (0.000, 0.232, 0.264)
P (0.500, 0.765, 0.251)
P (0.500, 0.235, 0.749)

ΔE_f: -140.0 kJ per mole of atoms

(7)
The following is a GGA-PBE calculation of an optimized crystal structure of Pm2ScPaP4, from Alexandria.

abc: 4.009 6.871 6.966
angles: 109.42 90.00 90.00
Atoms (fractional coordinates):
Pm (0.500, 0.000, 0.500)
Pm (0.000, 0.500, 0.500)
Sc (0.500, 0.500, 0.000)
Pa (0.000, 0.000, 0.000)
P (0.500, 0.249, 0.233)
P (0.500, 0.751, 0.767)
P (0.000, 0.259, 0.771)
P (0.000, 0.741, 0.229)

ΔE_f: -142.5 kJ per mole of atoms

(8)
The following is a GGA-PBE calculation of an optimized crystal structure of PmScPa2P4, from Alexandria.

abc: 3.970 6.840 6.870
angles: 70.44 90.00 90.00
Atoms (fractional coordinates):
Pm (0.500, 0.500, 0.000)
Sc (0.000, 0.500, 0.500)
Pa (0.000, 0.000, 0.000)
Pa (0.500, 0.000, 0.500)
P (0.000, 0.754, 0.739)
P (0.000, 0.246, 0.261)
P (0.500, 0.747, 0.260)
P (0.500, 0.253, 0.740)

ΔE_f: -133.8 kJ per mole of atoms

Number 1: raw total energy -9.379 eV/atom, DOS at the Fermi energy 17.96 states/eV/f.u., size of the total moment 1.358 μB per atom. Number 2: raw total energy -8.287 eV/atom, DOS at the Fermi energy 12.09 states/eV/f.u., size of the total moment 0.686 μB per atom. Number 3: raw total energy -7.711 eV/atom, DOS at the Fermi energy 3.20 states/eV/f.u., size of the total moment 0.000 μB per atom. Number 4: raw total energy -7.170 eV/atom, DOS at the Fermi energy 3.75 states/eV/f.u., size of the total moment 0.341 μB per atom. Number 5: raw total energy -7.459 eV/atom, DOS at the Fermi energy 4.27 states/eV/f.u., size of the total moment 0.203 μB per atom. Number 6: raw total energy -7.519 eV/atom, DOS at the Fermi energy 4.71 states/eV/f.u., size of the total moment 0.000 μB per atom. Number 7: raw total energy -7.348 eV/atom, DOS at the Fermi energy 4.43 states/eV/f.u., size of the total moment 0.000 μB per atom. Number 8: raw total energy -7.851 eV/atom, DOS at the Fermi energy 6.73 states/eV/f.u., size of the total moment 0.000 μB per atom.